First-principles (GGA-PBE) data for crystalline CePuCoPt at its relaxed geometry, as listed in Alexandria via LeMat-Bulk.

Output
D(E_F)	11.76	states/eV per cell
calculated volume	83	Å³ per cell
total magnetic moment	5.53	μB per formula unit
ΔH_f (0 K)	-0.400	eV per atom

abc: 4.890 4.890 4.890
angles: 60.00 60.00 60.00
Fractional positions:
Ce 0.000 0.000 0.000
Pu 0.500 0.500 0.500
Co 0.750 0.750 0.750
Pt 0.250 0.250 0.250

---

First-principles (GGA-PBE) data for crystalline CeSmCoPt at its relaxed geometry, as listed in Alexandria via LeMat-Bulk.

Output
D(E_F)	7.69	states/eV per cell
calculated volume	86	Å³ per cell
total magnetic moment	0.18	μB per formula unit
ΔH_f (0 K)	-0.499	eV per atom

abc: 4.946 4.946 4.946
angles: 60.00 60.00 60.00
Fractional positions:
Ce 0.000 0.000 0.000
Sm 0.500 0.500 0.500
Co 0.750 0.750 0.750
Pt 0.250 0.250 0.250

---

First-principles (GGA-PBE) data for crystalline TbCeCoPt at its relaxed geometry, as listed in Alexandria via LeMat-Bulk.

Output
D(E_F)	7.21	states/eV per cell
calculated volume	83	Å³ per cell
total magnetic moment	0.08	μB per formula unit
ΔH_f (0 K)	-0.550	eV per atom

abc: 4.906 4.906 4.906
angles: 60.00 60.00 60.00
Fractional positions:
Tb 0.000 0.000 0.000
Ce 0.500 0.500 0.500
Co 0.250 0.250 0.250
Pt 0.750 0.750 0.750

---

First-principles (GGA-PBE) data for crystalline CeThCoPt at its relaxed geometry, as listed in Alexandria via LeMat-Bulk.

Output
D(E_F)	4.16	states/eV per cell
calculated volume	89	Å³ per cell
total magnetic moment	0.00	μB per formula unit
ΔH_f (0 K)	-0.691	eV per atom

abc: 4.205 5.829 5.829
angles: 38.73 90.00 90.00
Fractional positions:
Ce 0.000 0.000 0.000
Th 0.500 0.278 0.278
Co 0.500 0.529 0.529
Pt 0.000 0.717 0.717

---

First-principles (GGA-PBE) data for crystalline CeYCoPt at its relaxed geometry, as listed in Alexandria via LeMat-Bulk.

Output
D(E_F)	7.17	states/eV per cell
calculated volume	83	Å³ per cell
total magnetic moment	0.05	μB per formula unit
ΔH_f (0 K)	-0.549	eV per atom

abc: 4.905 4.905 4.905
angles: 60.00 60.00 60.00
Fractional positions:
Ce 0.000 0.000 0.000
Y 0.500 0.500 0.500
Co 0.750 0.750 0.750
Pt 0.250 0.250 0.250

---

First-principles (GGA-PBE) data for crystalline Ce2PuCo at its relaxed geometry, as listed in Alexandria via LeMat-Bulk.

Output
D(E_F)	12.46	states/eV per cell
calculated volume	100	Å³ per cell
total magnetic moment	6.60	μB per formula unit
energy above the lowest structure with this stoichiometry	194	meV/atom
ΔH_f (0 K)	0.207	eV per atom

abc: 9.557 9.557 9.557
angles: 21.19 21.19 21.19
Fractional positions:
Ce 0.106 0.106 0.106
Ce 0.894 0.894 0.894
Pu 0.000 0.000 0.000
Co 0.500 0.500 0.500

---

First-principles (GGA-PBE) data for crystalline CePuCo at its relaxed geometry, as listed in Alexandria via LeMat-Bulk.

Output
D(E_F)	9.10	states/eV per cell
calculated volume	70	Å³ per cell
total magnetic moment	6.29	μB per formula unit
energy above the lowest structure with this stoichiometry	157	meV/atom
ΔH_f (0 K)	0.080	eV per atom

abc: 4.629 4.629 4.629
angles: 60.00 60.00 60.00
Fractional positions:
Ce 0.000 0.000 0.000
Pu 0.500 0.500 0.500
Co 0.750 0.750 0.750

---

First-principles (GGA-PBE) data for crystalline Ce2PuCo at its relaxed geometry, as listed in Alexandria via LeMat-Bulk.

Output
D(E_F)	11.10	states/eV per cell
calculated volume	98	Å³ per cell
total magnetic moment	6.86	μB per formula unit
energy above the lowest structure with this stoichiometry	41	meV/atom
ΔH_f (0 K)	0.054	eV per atom

abc: 8.702 8.702 8.702
angles: 24.32 24.32 24.32
Fractional positions:
Ce 0.000 0.000 0.000
Ce 0.205 0.205 0.205
Pu 0.768 0.768 0.768
Co 0.604 0.604 0.604